No. 1
! CeZnPbAu (PBE, relaxed); values from VASP
! formation energy	-0.3818	eV per atom
&SYSTEM
  ibrav = 0, nat = 4, ntyp = 4
/
ATOMIC_SPECIES
Pb 207.20 Pb.upf
Zn 65.41 Zn.upf
Au 196.97 Au.upf
Ce 140.12 Ce.upf
CELL_PARAMETERS angstrom
5.097 0.000 0.000
2.548 4.414 0.000
2.548 1.471 4.162
ATOMIC_POSITIONS angstrom
Pb 2.548 1.471 1.040
Zn 0.000 0.000 0.000
Au 5.097 2.943 2.081
Ce 7.645 4.414 3.121

=====

No. 2
! Sr2Si3Pt2 (PBE, relaxed); values from VASP
! formation energy (no corrections)	-0.67	eV/atom
&SYSTEM
  ibrav = 0, nat = 14, ntyp = 3
/
ATOMIC_SPECIES
Sr 87.62 Sr.upf
Si 28.09 Si.upf
Pt 195.08 Pt.upf
CELL_PARAMETERS angstrom
4.430 0.000 -1.056
0.000 7.065 0.000
-0.152 0.000 9.181
ATOMIC_POSITIONS angstrom
Sr 0.631 1.766 2.645
Sr 3.647 5.299 5.480
Sr 4.020 1.766 7.043
Sr 0.258 5.299 1.082
Si 0.972 5.299 4.078
Si 3.306 1.766 4.047
Si 2.461 2.987 0.504
Si 1.817 4.078 7.621
Si 1.817 6.519 7.621
Si 2.461 0.545 0.504
Pt 2.993 6.719 2.737
Pt 1.285 0.346 5.388
Pt 1.285 3.187 5.388
Pt 2.993 3.878 2.737

=====

No. 3
! In2HgCl (PBE, relaxed); values from VASP
! formation energy (no corrections)	-0.24	eV/atom
! excess energy over the best structure of this formula in the dataset	0.131	eV/atom
&SYSTEM
  ibrav = 0, nat = 8, ntyp = 3
/
ATOMIC_SPECIES
Cl 35.45 Cl.upf
Hg 200.59 Hg.upf
In 114.82 In.upf
CELL_PARAMETERS angstrom
4.678 0.000 0.000
0.000 4.678 0.000
2.339 2.339 10.856
ATOMIC_POSITIONS angstrom
Cl 2.339 2.339 0.000
Cl 2.339 4.678 5.428
Hg 0.000 0.000 0.000
Hg 4.678 2.339 5.428
In 3.416 1.169 2.714
In 1.262 3.508 2.714
In 3.508 3.600 8.142
In 5.847 5.755 8.142

=====

No. 4
! AcNdYLu (PBE, relaxed); values from VASP
! formation energy	0.1662	eV per atom
&SYSTEM
  ibrav = 0, nat = 4, ntyp = 4
/
ATOMIC_SPECIES
Y 88.91 Y.upf
Ac 227.00 Ac.upf
Lu 174.97 Lu.upf
Nd 144.24 Nd.upf
CELL_PARAMETERS angstrom
-4.342 3.560 1.661
-4.878 -2.230 2.349
-1.131 0.781 5.692
ATOMIC_POSITIONS angstrom
Y -7.763 1.583 7.276
Ac 0.000 0.000 0.000
Lu -5.175 1.056 4.851
Nd -2.588 0.528 2.425

=====

No. 5
! CaIr2Ru (PBE, relaxed); values from VASP
! excess energy over the best structure of this formula in the dataset	0.184	eV/atom
! formation energy	0.1964	eV per atom
&SYSTEM
  ibrav = 0, nat = 4, ntyp = 3
/
ATOMIC_SPECIES
Ru 101.07 Ru.upf
Ca 40.08 Ca.upf
Ir 192.22 Ir.upf
CELL_PARAMETERS angstrom
-1.348 -0.541 2.353
0.217 -3.897 -0.771
5.440 -0.300 3.047
ATOMIC_POSITIONS angstrom
Ru 2.415 -0.133 1.353
Ca 3.542 -2.445 3.092
Ir 0.203 -0.011 0.114
Ir 0.869 -2.298 1.594

=====

No. 6
! CaTb2In (PBE, relaxed); values from VASP
! excess energy over the best structure of this formula in the dataset	0.000	eV/atom
! formation energy	-0.2116	eV per atom
&SYSTEM
  ibrav = 0, nat = 4, ntyp = 3
/
ATOMIC_SPECIES
Ca 40.08 Ca.upf
Tb 158.93 Tb.upf
In 114.82 In.upf
CELL_PARAMETERS angstrom
4.834 0.000 0.000
0.000 4.954 0.000
0.000 0.000 4.954
ATOMIC_POSITIONS angstrom
Ca 2.417 2.477 2.477
Tb 0.000 0.000 2.477
Tb 0.000 2.477 0.000
In 2.417 0.000 0.000

=====

No. 7
! SmZrNi10 (PBE, relaxed); values from VASP
! formation energy	-0.2913	eV per atom
&SYSTEM
  ibrav = 0, nat = 12, ntyp = 3
/
ATOMIC_SPECIES
Sm 150.36 Sm.upf
Zr 91.22 Zr.upf
Ni 58.69 Ni.upf
CELL_PARAMETERS angstrom
3.964 0.000 0.000
0.000 4.836 0.000
0.000 0.000 8.386
ATOMIC_POSITIONS angstrom
Sm 0.000 0.000 0.000
Zr 0.000 2.418 4.193
Ni 0.000 0.000 2.859
Ni 0.000 2.418 6.901
Ni 0.000 2.418 1.485
Ni 0.000 0.000 5.527
Ni 1.982 0.000 4.193
Ni 1.982 2.418 0.000
Ni 1.982 1.229 2.159
Ni 1.982 3.607 6.226
Ni 1.982 3.607 2.159
Ni 1.982 1.229 6.226

=====

No. 8
! Ce2Ga3Pd (PBE, relaxed); values from VASP
! formation energy	-0.6707	eV per atom
&SYSTEM
  ibrav = 0, nat = 12, ntyp = 3
/
ATOMIC_SPECIES
Ce 140.12 Ce.upf
Ga 69.72 Ga.upf
Pd 106.42 Pd.upf
CELL_PARAMETERS angstrom
-4.893 -2.194 2.220
0.363 -5.508 -1.791
6.065 1.980 6.313
ATOMIC_POSITIONS angstrom
Ce -0.547 -2.033 4.373
Ce -3.498 -3.073 1.155
Ce 2.081 -3.690 2.368
Ce -1.032 -4.629 -0.727
Ga -2.774 -6.107 1.412
Ga 2.022 -3.503 5.546
Ga 4.309 0.384 5.330
Ga -0.488 -2.220 1.196
Ga 1.250 -0.616 2.147
Ga 0.285 -5.107 4.595
Pd -0.979 -4.485 2.424
Pd 2.514 -1.238 4.318

=====

| no. | Fermi-level density of states (states/eV/f.u.) |
| --- | --- |
| 1 | 6.421 |
| 2 | 3.289 |
| 3 | 1.859 |
| 4 | 9.520 |
| 5 | 4.886 |
| 6 | 3.903 |
| 7 | 13.176 |
| 8 | 9.760 |